A relaxed Tb6IrSe3S2 crystal. Source: Alexandria, functional PBE.

Output
* raw total energy: -6.316 eV/atom
* formation energy from raw total energies: -1973 kJ/mol of formula units

Lattice parameters (Å, degrees): 17.8334 3.9965 8.2128 90.00 103.82 90.00
Space group C2/m (No. 12)
Symmetry-distinct sites (fractional):
Tb 0.0025 0.0000 0.2316
Tb 0.1615 0.5000 0.0912
Tb 0.1699 0.5000 0.5718
Ir 0.0000 0.5000 0.0000
Se 0.0000 0.5000 0.5000
Se 0.1700 0.0000 0.8297
S 0.1690 0.0000 0.3365